! Zr3HOs, relaxed, DFT PBE-GGA; values from VASP
! * E above lowest polymorph: 0.00 eV per formula unit
! * E_tot: -8.142 eV/atom
! * space-group type: Pm-3m (221)
&SYSTEM
  ibrav = 0, nat = 5, ntyp = 3
/
ATOMIC_SPECIES
Zr 91.22 Zr.upf
Os 190.23 Os.upf
H 1.01 H.upf
CELL_PARAMETERS angstrom
4.357 0.000 0.000
0.000 4.357 0.000
0.000 0.000 4.357
ATOMIC_POSITIONS angstrom
Zr 2.179 0.000 0.000
Zr 0.000 0.000 2.179
Zr 0.000 2.179 0.000
Os 2.179 2.179 2.179
H 0.000 0.000 0.000